Density functional theory data (GGA-PBE) for an optimized crystal structure of Np2URhS5.

## Properties
- ΔE_f (raw) (eV/f.u.) = -9.71
- total moment (μB per atom) = 0.479
- final energy (eV per atom) = -8.318

abc: 7.283 7.283 12.813
angles: 90.00 90.00 90.00
Space group I4/mcm (No. 140)
One atom of each set of equivalent atoms:
1 Np 0.142 0.358 0.000 x8
2 U 0.000 0.000 0.250 x4
3 Rh 0.000 0.500 0.250 x4
4 S 0.000 0.000 0.000 x4
5 S 0.177 0.323 0.358 x16


Density functional theory data (GGA-PBE) for an optimized crystal structure of NpSb2Rh3.

## Properties
- ΔE_f (raw) (eV/f.u.) = -2.54
- total moment (μB per atom) = 0.633
- final energy (eV per atom) = -7.629

abc: 17.541 4.153 10.149
angles: 90.00 107.34 90.00
Space group C2/m (No. 12)
One atom of each set of equivalent atoms:
1 Np 0.000 0.000 0.000 x2
2 Np 0.165 0.000 0.706 x4
3 Sb 0.045 0.500 0.780 x4
4 Sb 0.138 0.500 0.455 x4
5 Sb 0.191 0.000 0.127 x4
6 Rh 0.000 0.500 0.500 x2
7 Rh 0.042 0.000 0.328 x4
8 Rh 0.107 0.500 0.184 x4
9 Rh 0.184 0.500 0.961 x4
10 Rh 0.216 0.000 0.393 x4


Density functional theory data (GGA-PBE) for an optimized crystal structure of Np2SbRh2.

## Properties
- ΔE_f (raw) (eV/f.u.) = -2.01
- total moment (μB per atom) = 1.385
- final energy (eV per atom) = -9.344

abc: 4.785 5.786 7.398
angles: 90.00 90.00 90.00
Space group Immm (No. 71)
One atom of each set of equivalent atoms:
1 Np 0.000 0.000 0.188 x4
2 Sb 0.000 0.500 0.000 x2
3 Rh 0.000 0.263 0.500 x4


Density functional theory data (GGA-PBE) for an optimized crystal structure of NpSbRh3.

## Properties
- ΔE_f (raw) (eV/f.u.) = -1.56
- total moment (μB per atom) = 0.697
- final energy (eV per atom) = -8.136
- polymorph energy (0 for the lowest one) (eV per formula unit) = 0.01

abc: 5.635 12.910 5.049
angles: 90.00 90.00 90.00
Space group Cmcm (No. 63)
One atom of each set of equivalent atoms:
1 Np 0.000 0.058 0.250 x4
2 Sb 0.000 0.318 0.750 x4
3 Rh 0.000 0.500 0.000 x4
4 Rh 0.243 0.347 0.250 x8


Density functional theory data (GGA-PBE) for an optimized crystal structure of NpSbRh6.

## Properties
- ΔE_f (raw) (eV/f.u.) = -1.42
- total moment (μB per atom) = 0.119
- final energy (eV per atom) = -7.824
- polymorph energy (0 for the lowest one) (eV per formula unit) = 1.19

abc: 5.123 5.126 5.134
angles: 93.97 93.98 93.99
Space group P-1 (No. 2)
One atom of each set of equivalent atoms:
1 Np 0.000 0.000 0.000 x1
2 Sb 0.500 0.500 0.500 x1
3 Rh 0.062 0.751 0.423 x2
4 Rh 0.249 0.576 0.938 x2
5 Rh 0.424 0.061 0.751 x2


Density functional theory data (GGA-PBE) for an optimized crystal structure of NpSbRh4.

## Properties
- ΔE_f (raw) (eV/f.u.) = -1.04
- total moment (μB per atom) = 0.283
- final energy (eV per atom) = -7.918
- polymorph energy (0 for the lowest one) (eV per formula unit) = 0.44

abc: 10.833 4.895 8.213
angles: 90.00 102.35 90.00
Space group C2/c (No. 15)
One atom of each set of equivalent atoms:
1 Np 0.000 0.249 0.250 x4
2 Sb 0.250 0.250 0.000 x4
3 Rh 0.011 0.250 0.583 x8
4 Rh 0.232 0.251 0.327 x8


Density functional theory data (GGA-PBE) for an optimized crystal structure of Np2Sb3Rh5.

## Properties
- ΔE_f (raw) (eV/f.u.) = -3.69
- total moment (μB per atom) = 0.682
- final energy (eV per atom) = -7.870

abc: 4.364 25.022 7.249
angles: 90.00 90.00 90.00
Space group Cmc2_1 (No. 36)
One atom of each set of equivalent atoms:
1 Np 0.000 0.008 0.000 x4
2 Np 0.000 0.324 0.035 x4
3 Sb 0.000 0.109 0.770 x4
4 Sb 0.000 0.279 0.601 x4
5 Sb 0.000 0.440 0.757 x4
6 Rh 0.000 0.102 0.408 x4
7 Rh 0.000 0.208 0.888 x4
8 Rh 0.000 0.219 0.305 x4
9 Rh 0.000 0.376 0.463 x4
10 Rh 0.000 0.450 0.147 x4


Density functional theory data (GGA-PBE) for an optimized crystal structure of Np3Sb2Rh7.

## Properties
- ΔE_f (raw) (eV/f.u.) = -3.64
- total moment (μB per atom) = 0.723
- final energy (eV per atom) = -8.514

abc: 4.617 23.114 4.329
angles: 90.00 90.00 90.00
Space group Cmmm (No. 65)
One atom of each set of equivalent atoms:
1 Np 0.000 0.000 0.000 x2
2 Np 0.000 0.157 0.000 x4
3 Sb 0.000 0.345 0.500 x4
4 Rh 0.000 0.072 0.500 x4
5 Rh 0.000 0.222 0.500 x4
6 Rh 0.000 0.416 0.000 x4
7 Rh 0.000 0.500 0.500 x2


Density functional theory data (GGA-PBE) for an optimized crystal structure of NpSbRh6.

## Properties
- ΔE_f (raw) (eV/f.u.) = -2.61
- total moment (μB per atom) = 0.145
- final energy (eV per atom) = -7.972
- polymorph energy (0 for the lowest one) (eV per formula unit) = 0.00

abc: 5.626 5.626 4.021
angles: 90.00 90.00 90.00
Space group P4/mmm (No. 123)
One atom of each set of equivalent atoms:
1 Np 0.000 0.000 0.000 x1
2 Sb 0.500 0.500 0.000 x1
3 Rh 0.000 0.500 0.000 x2
4 Rh 0.245 0.245 0.500 x4


Density functional theory data (GGA-PBE) for an optimized crystal structure of Np4Sb6Rh7.

## Properties
- ΔE_f (raw) (eV/f.u.) = -7.26
- total moment (μB per atom) = 0.964
- final energy (eV per atom) = -7.954

abc: 8.835 8.835 8.835
angles: 90.00 90.00 90.00
Space group Im-3m (No. 229)
One atom of each set of equivalent atoms:
1 Np 0.250 0.250 0.250 x8
2 Sb 0.000 0.000 0.314 x12
3 Rh 0.000 0.000 0.000 x2
4 Rh 0.000 0.250 0.500 x12


Density functional theory data (GGA-PBE) for an optimized crystal structure of NpSb2Rh4.

## Properties
- ΔE_f (raw) (eV/f.u.) = -1.78
- total moment (μB per atom) = 0.395
- final energy (eV per atom) = -7.482

abc: 4.093 4.093 16.908
angles: 90.00 90.00 90.00
Space group I4/mmm (No. 139)
One atom of each set of equivalent atoms:
1 Np 0.000 0.000 0.000 x2
2 Sb 0.000 0.000 0.359 x4
3 Rh 0.000 0.000 0.136 x4
4 Rh 0.000 0.500 0.250 x4


Density functional theory data (GGA-PBE) for an optimized crystal structure of NpSbRh2.

## Properties
- ΔE_f (raw) (eV/f.u.) = -1.68
- total moment (μB per atom) = 0.783
- final energy (eV per atom) = -8.361

abc: 5.065 4.543 6.803
angles: 90.00 100.67 90.00
Space group P2_1/m (No. 11)
One atom of each set of equivalent atoms:
1 Np 0.199 0.250 0.211 x2
2 Sb 0.264 0.250 0.710 x2
3 Rh 0.283 0.750 0.462 x2
4 Rh 0.327 0.750 0.938 x2


Density functional theory data (GGA-PBE) for an optimized crystal structure of NpSbRh3.

## Properties
- ΔE_f (raw) (eV/f.u.) = -1.58
- total moment (μB per atom) = 0.632
- final energy (eV per atom) = -8.138
- polymorph energy (0 for the lowest one) (eV per formula unit) = 0.00

abc: 5.579 7.650 8.755
angles: 90.00 90.00 90.00
Space group Pnma (No. 62)
One atom of each set of equivalent atoms:
1 Np 0.005 0.250 0.009 x4
2 Sb 0.000 0.000 0.500 x4
3 Rh 0.028 0.750 0.287 x4
4 Rh 0.220 0.564 0.762 x8


Density functional theory data (GGA-PBE) for an optimized crystal structure of NpSbRh2.

## Properties
- ΔE_f (raw) (eV/f.u.) = -1.58
- total moment (μB per atom) = 0.802
- final energy (eV per atom) = -8.336

abc: 6.705 4.651 9.992
angles: 90.00 90.00 90.00
Space group Pnma (No. 62)
One atom of each set of equivalent atoms:
1 Np 0.207 0.250 0.153 x4
2 Sb 0.045 0.750 0.360 x4
3 Rh 0.045 0.250 0.907 x4
4 Rh 0.218 0.250 0.431 x4


Density functional theory data (GGA-PBE) for an optimized crystal structure of NpSbRh4.

## Properties
- ΔE_f (raw) (eV/f.u.) = -1.48
- total moment (μB per atom) = 0.435
- final energy (eV per atom) = -7.992
- polymorph energy (0 for the lowest one) (eV per formula unit) = 0.00

abc: 7.471 7.471 7.471
angles: 90.00 90.00 90.00
Space group F-43m (No. 216)
One atom of each set of equivalent atoms:
1 Np 0.000 0.000 0.000 x4
2 Sb 0.250 0.250 0.750 x4
3 Rh 0.125 0.125 0.375 x16


Density functional theory data (GGA-PBE) for an optimized crystal structure of NpSbRhSe.

## Properties
- ΔE_f (raw) (eV/f.u.) = -2.40
- total moment (μB per atom) = 1.000
- final energy (eV per atom) = -7.576

abc: 4.474 4.474 8.791
angles: 90.00 90.00 90.00
Space group P4/nmm (No. 129, origin choice 2)
One atom of each set of equivalent atoms:
1 Np 0.250 0.250 0.206 x2
2 Sb 0.250 0.250 0.664 x2
3 Rh 0.250 0.750 0.500 x2
4 Se 0.250 0.750 0.000 x2


Density functional theory data (GGA-PBE) for an optimized crystal structure of NpScRh14.

## Properties
- total moment (μB per atom) = 0.049
- final energy (eV per atom) = -7.857
- ΔE_f (eV/atom) = -0.220

abc: 5.517 5.517 7.859
angles: 90.00 90.00 90.00
Space group P4/mmm (No. 123)
One atom of each set of equivalent atoms:
1 Np 0.000 0.000 0.000 x1
2 Sc 0.500 0.500 0.000 x1
3 Rh 0.000 0.000 0.500 x1
4 Rh 0.000 0.500 0.000 x2
5 Rh 0.000 0.500 0.500 x2
6 Rh 0.248 0.248 0.257 x8
7 Rh 0.500 0.500 0.500 x1


Density functional theory data (GGA-PBE) for an optimized crystal structure of NpScRh4.

## Properties
- total moment (μB per atom) = 0.314
- final energy (eV per atom) = -8.500
- polymorph energy (0 for the lowest one) (eV per formula unit) = 0.62
- ΔE_f (eV/atom) = -0.387

abc: 9.698 3.067 7.312
angles: 90.00 112.87 90.00
Space group C2/m (No. 12)
One atom of each set of equivalent atoms:
1 Np 0.000 0.000 0.000 x2
2 Sc 0.000 0.000 0.500 x2
3 Rh 0.161 0.500 0.326 x4
4 Rh 0.163 0.500 0.834 x4


Density functional theory data (GGA-PBE) for an optimized crystal structure of NpScRh4.

## Properties
- total moment (μB per atom) = 0.587
- final energy (eV per atom) = -8.602
- polymorph energy (0 for the lowest one) (eV per formula unit) = 0.00
- ΔE_f (eV/atom) = -0.489

abc: 7.441 7.441 7.441
angles: 90.00 90.00 90.00
Space group F-43m (No. 216)
One atom of each set of equivalent atoms:
1 Np 0.000 0.000 0.000 x4
2 Sc 0.250 0.250 0.750 x4
3 Rh 0.125 0.125 0.375 x16


Density functional theory data (GGA-PBE) for an optimized crystal structure of NpSc2Rh4.

## Properties
- total moment (μB per atom) = 0.380
- final energy (eV per atom) = -8.435
- ΔE_f (eV/atom) = -0.576

abc: 8.188 4.504 7.755
angles: 90.00 118.49 90.00
Space group C2/m (No. 12)
One atom of each set of equivalent atoms:
1 Np 0.000 0.000 0.000 x2
2 Sc 0.035 0.500 0.711 x4
3 Rh 0.190 0.000 0.377 x4
4 Rh 0.230 0.500 0.137 x4